No. 1
Material: La9ErMg2
Method: DFT, PBE
State: optimized geometry

Summary:
The value obtained for the energy is -4.355 eV/atom. The symmetry is No. 123. For the formation energy, the calculation gives -14 meV/atom.

```
La9ErMg2
1.0
-0.896 2.815 -4.220
2.673 -3.380 -2.822
-12.922 -8.036 -2.616
La Er Mg
9 1 2
direct
0.500 0.500 0.000
0.500 0.500 0.334
0.500 0.500 0.666
0.500 0.000 0.168
0.500 0.000 0.500
0.500 0.000 0.832
0.000 0.500 0.168
0.000 0.500 0.500
0.000 0.500 0.832
0.000 0.000 0.000
0.000 0.000 0.336
0.000 0.000 0.664
```



No. 2
Material: BaBiH
Method: DFT, PBE
State: optimized geometry

Summary:
The value obtained for the energy is -3.483 eV/atom. The symmetry is No. 62. The value obtained for the offset from the most stable computed form is 129 meV per atom.

```
BaBiH
1.0
8.539 0.000 0.000
0.000 9.366 0.000
0.000 0.000 5.115
H Bi Ba
4 4 4
direct
0.490 0.250 0.781
0.010 0.750 0.281
0.510 0.750 0.219
0.990 0.250 0.719
0.332 0.250 0.035
0.168 0.750 0.535
0.668 0.750 0.965
0.832 0.250 0.465
0.000 0.000 0.000
0.500 0.500 0.500
0.500 0.000 0.500
0.000 0.500 0.000
```